Computed, not measured: Na3Hg2Pb3 after structural relaxation at the PBE level of DFT.

Results
formation enthalpy at 0 K = -0.14 eV/atom
volume = 27.79 Å³/atom
spin magnetization = 0.0 μB per formula unit

Lattice parameters (Å, degrees): 5.1772 5.1831 9.0597 106.62 106.60 90.00
With the nearest neighbours (Å) after each atom.
Sites, in units of the cell vectors:
Hg 0.2440 0.2436 0.4880  4 Na 3.13-3.25, 4 Pb 3.16-3.28
Pb 0.3650 0.8655 0.7300  4 Hg 3.16-3.28, 2 Na 3.42, 2 Pb 3.42-3.43
Na 0.8623 0.3629 0.7245  4 Hg 3.13-3.25, 2 Na 3.45-3.46, 2 Pb 3.45
Pb 0.6350 0.1345 0.2700  4 Hg 3.16-3.28, 2 Na 3.42, 2 Pb 3.42-3.43
Pb 0.5000 0.5000 0.0000  4 Pb 3.42-3.43, 8 Na 3.45-3.66
Hg 0.7560 0.7564 0.5120  4 Na 3.13-3.25, 4 Pb 3.16-3.28
Na 0.1377 0.6371 0.2755  4 Hg 3.13-3.25, 2 Na 3.45-3.46, 2 Pb 3.45
Na 0.0000 0.0000 0.0000  8 Pb 3.42-3.66, 4 Na 3.45-3.46



Computed, not measured: Na6Hg12Pb after structural relaxation at the PBE level of DFT.

Results
formation enthalpy at 0 K = -0.18 eV/atom
volume = 27.14 Å³/atom
spin magnetization = 0.0 μB per formula unit

Lattice parameters (Å, degrees): 8.0439 8.0439 8.0439 94.35 94.35 94.35
With the nearest neighbours (Å) after each atom.
Sites, in units of the cell vectors:
Na 0.8723 0.2629 0.7086  9 Hg 3.16-3.46, 1 Pb 3.43
Hg 0.9583 0.8655 0.6203  2 Hg 2.99-3.08, 1 Pb 3.15, 2 Na 3.20-3.31
Hg 0.5400 0.4631 0.7913  3 Hg 2.99-3.23, 3 Na 3.16-3.31
Hg 0.7913 0.5400 0.4631  3 Hg 2.99-3.23, 3 Na 3.16-3.31
Hg 0.4631 0.7913 0.5400  3 Hg 2.99-3.23, 3 Na 3.16-3.31
Hg 0.0417 0.1345 0.3797  2 Hg 2.99-3.08, 1 Pb 3.15, 2 Na 3.20-3.31
Na 0.2629 0.7086 0.8723  9 Hg 3.16-3.46, 1 Pb 3.43
Na 0.7371 0.2914 0.1277  9 Hg 3.16-3.46, 1 Pb 3.43
Hg 0.4600 0.5369 0.2087  3 Hg 2.99-3.23, 3 Na 3.16-3.31
Hg 0.6203 0.9583 0.8655  2 Hg 2.99-3.08, 1 Pb 3.15, 2 Na 3.20-3.31
Hg 0.1345 0.3797 0.0417  2 Hg 2.99-3.08, 1 Pb 3.15, 2 Na 3.20-3.31
Hg 0.2087 0.4600 0.5369  3 Hg 2.99-3.23, 3 Na 3.16-3.31
Hg 0.8655 0.6203 0.9583  2 Hg 2.99-3.08, 1 Pb 3.15, 2 Na 3.20-3.31
Na 0.2914 0.1277 0.7371  9 Hg 3.16-3.46, 1 Pb 3.43
Hg 0.3797 0.0417 0.1345  2 Hg 2.99-3.08, 1 Pb 3.15, 2 Na 3.20-3.31
Pb 0.0000 0.0000 0.0000  6 Hg 3.15, 6 Na 3.43
Hg 0.5369 0.2087 0.4600  3 Hg 2.99-3.23, 3 Na 3.16-3.31
Na 0.1277 0.7371 0.2914  9 Hg 3.16-3.46, 1 Pb 3.43
Na 0.7086 0.8723 0.2629  9 Hg 3.16-3.46, 1 Pb 3.43



Computed, not measured: Na2Hg3Pb2 after structural relaxation at the PBE level of DFT.

Results
formation enthalpy at 0 K = -0.11 eV/atom
volume = 29.35 Å³/atom
spin magnetization = 0.0 μB per formula unit

Lattice parameters (Å, degrees): 4.8659 8.4753 5.9242 110.62 114.25 90.00
With the nearest neighbours (Å) after each atom.
Sites, in units of the cell vectors:
Na 0.4945 0.2285 0.9890  6 Hg 3.19-3.37, 3 Pb 3.39-3.46
Pb 0.2304 0.3629 0.4607  3 Hg 3.13-3.29, 2 Pb 3.28, 3 Na 3.39-3.46
Hg 0.2357 0.8786 0.4714  3 Hg 3.12-3.24, 4 Na 3.19-3.37, 2 Pb 3.29
Hg 0.7643 0.1214 0.5286  3 Hg 3.12-3.24, 4 Na 3.19-3.37, 2 Pb 3.29
Na 0.5055 0.7715 0.0110  6 Hg 3.19-3.37, 3 Pb 3.39-3.46
Hg 0.0000 0.5000 0.0000  2 Pb 3.13, 2 Hg 3.24, 4 Na 3.33
Pb 0.7696 0.6371 0.5393  3 Hg 3.13-3.29, 2 Pb 3.28, 3 Na 3.39-3.46



Computed, not measured: Na2Hg4Pb after structural relaxation at the PBE level of DFT.

Results
formation enthalpy at 0 K = 0.03 eV/atom
volume = 39.55 Å³/atom
spin magnetization = 0.0 μB per formula unit

Lattice parameters (Å, degrees): 5.9174 5.9174 8.9453 109.31 109.31 90.00
With the nearest neighbours (Å) after each atom.
Sites, in units of the cell vectors:
Na 0.3946 0.3946 0.7893  1 Hg 3.01, 1 Na 3.33
Hg 0.7958 0.7958 0.5916  1 Na 3.01, 1 Pb 3.23
Hg 0.5000 0.0000 0.0000  2 Pb 2.96
Hg 0.0000 0.5000 0.0000  2 Pb 2.96
Pb 0.0000 0.0000 0.0000  6 Hg 2.96-3.23
Hg 0.2042 0.2042 0.4084  1 Na 3.01, 1 Pb 3.23
Na 0.6054 0.6054 0.2107  1 Hg 3.01, 1 Na 3.33



Computed, not measured: Na2HgPb2 after structural relaxation at the PBE level of DFT.

Results
formation enthalpy at 0 K = 0.10 eV/atom
volume = 30.54 Å³/atom
spin magnetization = 0.0 μB per formula unit

Lattice parameters (Å, degrees): 4.4281 4.4281 8.3935 74.71 74.71 90.00
With the nearest neighbours (Å) after each atom.
Sites, in units of the cell vectors:
Na 0.7500 0.2500 0.5000  4 Na 3.13, 4 Pb 3.28
Hg 0.0000 0.0000 0.0000  8 Pb 3.46
Pb 0.4053 0.4053 0.1894  1 Pb 2.95, 4 Na 3.28
Pb 0.5947 0.5947 0.8106  1 Pb 2.95, 4 Na 3.28
Na 0.2500 0.7500 0.5000  4 Na 3.13, 4 Pb 3.28



Computed, not measured: Na2Hg2Pb7 after structural relaxation at the PBE level of DFT.

Results
formation enthalpy at 0 K = -0.03 eV/atom
volume = 30.50 Å³/atom
spin magnetization = 0.0 μB per formula unit

Lattice parameters (Å, degrees): 5.6147 8.2352 8.2352 82.48 69.83 69.83
With the nearest neighbours (Å) after each atom.
Sites, in units of the cell vectors:
Pb 0.6783 0.3193 0.3193  2 Hg 3.35-3.36, 5 Pb 3.40-3.74, 2 Na 3.41
Pb 0.1647 0.5629 0.1065  1 Hg 3.19, 2 Na 3.35-3.37, 4 Pb 3.40-3.47
Pb 0.8353 0.4371 0.8935  1 Hg 3.19, 2 Na 3.35-3.37, 4 Pb 3.40-3.47
Na 0.5000 0.7547 0.2453  2 Hg 3.15, 6 Pb 3.35-3.41
Pb 0.3217 0.6807 0.6807  2 Hg 3.35-3.36, 5 Pb 3.40-3.74, 2 Na 3.41
Pb 0.1647 0.1065 0.5629  1 Hg 3.19, 2 Na 3.35-3.37, 4 Pb 3.40-3.47
Pb 0.8353 0.8935 0.4371  1 Hg 3.19, 2 Na 3.35-3.37, 4 Pb 3.40-3.47
Pb 0.0000 0.0000 0.0000  4 Hg 3.27, 6 Pb 3.47-3.51
Hg 0.3451 0.1527 0.1527  2 Na 3.15, 6 Pb 3.19-3.36, 1 Hg 3.36
Na 0.5000 0.2453 0.7547  2 Hg 3.15, 6 Pb 3.35-3.41
Hg 0.6549 0.8473 0.8473  2 Na 3.15, 6 Pb 3.19-3.36, 1 Hg 3.36



Computed, not measured: NaHg2Pb5 after structural relaxation at the PBE level of DFT.

Results
formation enthalpy at 0 K = -0.05 eV/atom
volume = 29.03 Å³/atom
spin magnetization = 0.0 μB per formula unit

Lattice parameters (Å, degrees): 4.7841 7.0027 13.8655 90.00 90.00 90.00
With the nearest neighbours (Å) after each atom.
Sites, in units of the cell vectors:
Hg 0.5000 0.7367 0.8808  2 Na 3.35, 10 Pb 3.44-3.54
Hg 0.5000 0.2633 0.1192  2 Na 3.35, 10 Pb 3.44-3.54
Hg 0.5000 0.7633 0.3808  2 Na 3.35, 10 Pb 3.44-3.54
Pb 0.0000 0.0000 0.0000  6 Pb 3.43-3.46, 4 Hg 3.44, 2 Na 3.50
Na 0.0000 0.5000 0.0000  4 Hg 3.35, 8 Pb 3.47-3.50
Pb 0.5000 0.7575 0.1285  6 Pb 3.39-3.43, 4 Hg 3.44-3.54, 2 Na 3.49
Pb 0.0000 0.5000 0.5000  6 Pb 3.43-3.46, 4 Hg 3.44, 2 Na 3.50
Na 0.0000 0.0000 0.5000  4 Hg 3.35, 8 Pb 3.47-3.50
Pb 0.5000 0.7425 0.6285  6 Pb 3.39-3.43, 4 Hg 3.44-3.54, 2 Na 3.49
Pb 0.5000 0.2575 0.3715  6 Pb 3.39-3.43, 4 Hg 3.44-3.54, 2 Na 3.49
Hg 0.5000 0.2367 0.6192  2 Na 3.35, 10 Pb 3.44-3.54
Pb 0.5000 0.2425 0.8715  6 Pb 3.39-3.43, 4 Hg 3.44-3.54, 2 Na 3.49
Pb 0.0000 0.4960 0.7494  7 Pb 3.39-3.50, 4 Hg 3.45-3.50, 1 Na 3.47
Pb 0.0000 0.5040 0.2506  7 Pb 3.39-3.50, 4 Hg 3.45-3.50, 1 Na 3.47
Pb 0.0000 0.9960 0.7506  7 Pb 3.39-3.50, 4 Hg 3.45-3.50, 1 Na 3.47
Pb 0.0000 0.0040 0.2494  7 Pb 3.39-3.50, 4 Hg 3.45-3.50, 1 Na 3.47



Computed, not measured: NaHgPb3 after structural relaxation at the PBE level of DFT.

Results
formation enthalpy at 0 K = -0.06 eV/atom
volume = 30.26 Å³/atom
spin magnetization = 0.0 μB per formula unit

Lattice parameters (Å, degrees): 4.8411 8.0047 9.5396 121.01 104.70 90.00
With the nearest neighbours (Å) after each atom.
Sites, in units of the cell vectors:
Pb 0.8772 0.4104 0.7543  2 Hg 3.34-3.35, 6 Pb 3.38-3.64, 2 Na 3.47
Pb 0.1228 0.5896 0.2457  2 Hg 3.34-3.35, 6 Pb 3.38-3.64, 2 Na 3.47
Pb 0.2340 0.3269 0.4681  3 Na 3.33-3.50, 8 Pb 3.38-3.64, 1 Hg 3.43
Hg 0.9567 0.1209 0.9134  1 Hg 3.10, 2 Na 3.11, 5 Pb 3.25-3.43
Na 0.4194 0.7609 0.8388  2 Hg 3.11, 3 Pb 3.33-3.47, 1 Na 3.37
Pb 0.7660 0.6731 0.5319  3 Na 3.33-3.50, 8 Pb 3.38-3.64, 1 Hg 3.43
Pb 0.6756 0.9597 0.3513  2 Hg 3.25, 8 Pb 3.45-3.54, 1 Na 3.50
Pb 0.3244 0.0403 0.6487  2 Hg 3.25, 8 Pb 3.45-3.54, 1 Na 3.50
Na 0.5806 0.2391 0.1612  2 Hg 3.11, 3 Pb 3.33-3.47, 1 Na 3.37
Hg 0.0433 0.8791 0.0866  1 Hg 3.10, 2 Na 3.11, 5 Pb 3.25-3.43



Computed, not measured: Na2Hg2Pb after structural relaxation at the PBE level of DFT.

Results
formation enthalpy at 0 K = -0.18 eV/atom
volume = 26.81 Å³/atom
spin magnetization = 0.0 μB per formula unit

Lattice parameters (Å, degrees): 8.5562 8.5562 3.6627 90.00 90.00 90.00
With the nearest neighbours (Å) after each atom.
Sites, in units of the cell vectors:
Na 0.8286 0.3286 0.5000  6 Hg 3.06-3.16
Na 0.3286 0.1714 0.5000  6 Hg 3.06-3.16
Hg 0.8735 0.6265 0.0000  6 Na 3.06-3.16, 1 Hg 3.06, 2 Pb 3.37
Na 0.1714 0.6714 0.5000  6 Hg 3.06-3.16
Hg 0.6265 0.1265 0.0000  6 Na 3.06-3.16, 1 Hg 3.06, 2 Pb 3.37
Pb 0.0000 0.0000 0.0000  4 Hg 3.37, 8 Na 3.66, 2 Pb 3.66
Hg 0.3735 0.8735 0.0000  6 Na 3.06-3.16, 1 Hg 3.06, 2 Pb 3.37
Na 0.6714 0.8286 0.5000  6 Hg 3.06-3.16
Hg 0.1265 0.3735 0.0000  6 Na 3.06-3.16, 1 Hg 3.06, 2 Pb 3.37
Pb 0.5000 0.5000 0.0000  4 Hg 3.37, 8 Na 3.66, 2 Pb 3.66



Computed, not measured: Na2Hg3Pb3 after structural relaxation at the PBE level of DFT.

Results
formation enthalpy at 0 K = -0.06 eV/atom
volume = 28.56 Å³/atom
spin magnetization = 0.0 μB per formula unit

Lattice parameters (Å, degrees): 5.1003 6.4798 15.0407 90.00 90.00 113.18
With the nearest neighbours (Å) after each atom.
Sites, in units of the cell vectors:
Hg 0.5994 0.1987 0.4403  1 Hg 2.97, 3 Na 3.06-3.09, 3 Pb 3.14-3.27
Hg 0.5994 0.1987 0.0597  1 Hg 2.97, 3 Na 3.06-3.09, 3 Pb 3.14-3.27
Pb 0.7078 0.4156 0.2500  3 Hg 3.14-3.41, 2 Pb 3.44, 4 Na 3.45
Na 0.7621 0.5242 0.5974  4 Hg 3.06-3.17
Hg 0.4006 0.8013 0.9403  1 Hg 2.97, 3 Na 3.06-3.09, 3 Pb 3.14-3.27
Pb 0.0551 0.1101 0.6199  4 Hg 3.23-3.27, 1 Pb 3.44, 3 Na 3.51-3.56
Na 0.2379 0.4758 0.4026  4 Hg 3.06-3.17
Na 0.2379 0.4758 0.0974  4 Hg 3.06-3.17
Na 0.7621 0.5242 0.9026  4 Hg 3.06-3.17
Hg 0.5788 0.1576 0.7500  2 Na 3.17, 5 Pb 3.23-3.41
Hg 0.4006 0.8013 0.5597  1 Hg 2.97, 3 Na 3.06-3.09, 3 Pb 3.14-3.27
Pb 0.9449 0.8899 0.1199  4 Hg 3.23-3.27, 1 Pb 3.44, 3 Na 3.51-3.56
Hg 0.4212 0.8424 0.2500  2 Na 3.17, 5 Pb 3.23-3.41
Pb 0.2922 0.5844 0.7500  3 Hg 3.14-3.41, 2 Pb 3.44, 4 Na 3.45
Pb 0.0551 0.1101 0.8801  4 Hg 3.23-3.27, 1 Pb 3.44, 3 Na 3.51-3.56
Pb 0.9449 0.8899 0.3801  4 Hg 3.23-3.27, 1 Pb 3.44, 3 Na 3.51-3.56